A plane-wave DFT calculation with GGA-PBE was carried out for a relaxed BeFe2Ir crystal. Values from VASP.

## Properties
- Final energy: -29.75 eV for the cell shown

Cell and atoms, written as Quantum ESPRESSO input:
```
&SYSTEM
  ibrav = 0, nat = 4, ntyp = 3
/
ATOMIC_SPECIES
Fe 55.84 Fe.upf
Be 9.01 Be.upf
Ir 192.22 Ir.upf
CELL_PARAMETERS angstrom
3.671 0.000 0.000
0.000 2.648 -0.001
0.000 1.330 4.788
ATOMIC_POSITIONS angstrom
Fe 1.836 0.828 1.058
Fe 0.000 2.148 0.039
Be 1.836 3.484 3.459
Ir 0.000 2.155 2.623
```


A plane-wave DFT calculation with GGA-PBE was carried out for a relaxed Li2Pd2Pb crystal. Values from VASP.

## Properties
- Energy above the most stable polymorph in this dataset: 0.083 eV/atom

Cell and atoms, written as Quantum ESPRESSO input:
```
&SYSTEM
  ibrav = 0, nat = 10, ntyp = 3
/
ATOMIC_SPECIES
Li 6.94 Li.upf
Pd 106.42 Pd.upf
Pb 207.20 Pb.upf
CELL_PARAMETERS angstrom
-3.234 5.343 3.437
-4.883 -4.557 2.491
1.804 -0.544 2.543
ATOMIC_POSITIONS angstrom
Li -2.239 -1.062 1.362
Pd -5.313 -0.445 5.644
Pb 0.000 0.000 0.000
Li -5.503 -1.982 3.481
Pd -2.943 -2.414 3.542
Pd -1.000 0.688 2.826
Pd -3.369 2.657 4.928
Pb -4.059 0.393 2.964
Li -5.878 1.848 4.566
Li -2.614 2.768 2.447
```


A plane-wave DFT calculation with GGA-PBE was carried out for a relaxed RbCdP2S crystal. Values from VASP.

## Properties
- Energy above the most stable polymorph in this dataset: 0.281 eV/atom
- Formation energy without anion corrections: 0.794 eV/atom

Cell and atoms, written as Quantum ESPRESSO input:
```
&SYSTEM
  ibrav = 0, nat = 5, ntyp = 4
/
ATOMIC_SPECIES
S 32.06 S.upf
P 30.97 P.upf
Rb 85.47 Rb.upf
Cd 112.41 Cd.upf
CELL_PARAMETERS angstrom
-3.788 3.145 -0.079
-4.266 -5.045 3.717
1.490 1.902 4.291
ATOMIC_POSITIONS angstrom
S -3.282 0.001 3.965
P -1.894 1.573 -0.040
Rb -2.133 -2.522 1.859
P 0.745 0.951 2.145
Cd 0.000 0.000 0.000
```


A plane-wave DFT calculation with GGA-PBE was carried out for a relaxed Li3Y2ZnNi12 crystal. Values from VASP.

## Properties
- Final energy: -80.85 eV for the cell shown

Cell and atoms, written as Quantum ESPRESSO input:
```
&SYSTEM
  ibrav = 0, nat = 18, ntyp = 4
/
ATOMIC_SPECIES
Ni 58.69 Ni.upf
Y 88.91 Y.upf
Li 6.94 Li.upf
Zn 65.41 Zn.upf
CELL_PARAMETERS angstrom
7.238 -0.015 -0.011
3.561 6.301 -0.011
3.561 2.073 5.950
ATOMIC_POSITIONS angstrom
Ni 3.674 2.139 3.582
Ni 10.686 4.271 5.095
Y 8.760 5.099 3.617
Ni 7.120 4.144 5.241
Ni 7.240 4.214 0.688
Ni 5.352 5.287 3.750
Ni 7.120 6.316 2.179
Li 1.781 3.150 -0.005
Zn 0.000 0.000 0.000
Y 5.600 3.260 2.312
Ni 9.008 3.072 2.179
Ni 10.686 6.220 2.347
Li 3.619 -0.007 -0.005
Li 1.781 1.036 2.975
Ni 5.369 1.176 0.834
Ni 7.240 2.043 3.750
Ni 8.992 7.183 5.095
Ni 3.674 4.087 0.834
```


We obtain DOS at the Fermi energy values of 0.982; 0.213; 0.885; 1.186 states/eV/atom for the records listed above, in that order.